# Hg2PIrF (PBEsol, optimized geometry)
# E_tot = -3.10 eV per atom
data_Hg2PIrF
_symmetry_space_group_name_H-M 'P 4/m m m'
_symmetry_Int_Tables_number 123
_symmetry_space_group_name_Hall '-P 4 2'
_cell_length_a 4.797
_cell_length_b 4.797
_cell_length_c 3.777
_cell_angle_alpha 90.00
_cell_angle_beta 90.00
_cell_angle_gamma 90.00
loop_
_atom_site_label
_atom_site_type_symbol
_atom_site_fract_x
_atom_site_fract_y
_atom_site_fract_z
Hg1 Hg 0.000 0.500 0.000
P1 P 0.000 0.000 0.500
Ir1 Ir 0.500 0.500 0.500
F1 F 0.000 0.000 0.000